1.
Crystalline BWCl3 at its relaxed geometry. Source: the Alexandria database, functional PBEsol.

Results
Symmetry = Pm-3m, No. 221
Crystal system = cubic
E_form (uncorrected) = 1.309 eV/atom
Fermi-level density of states = 0.82 states/eV per atom

POSCAR file:
```
BWCl3
1.0
4.3650 0.0000 0.0000
0.0000 4.3650 0.0000
0.0000 0.0000 4.3650
B W Cl
1 1 3
Direct
0.0000 0.0000 0.0000
0.5000 0.5000 0.5000
0.0000 0.0000 0.5000
0.0000 0.5000 0.0000
0.5000 0.0000 0.0000
```

2.
Crystalline SiGeBr2 at its relaxed geometry. Source: the Alexandria database, functional PBEsol.

Results
Symmetry = Fm-3m, No. 225
Crystal system = cubic
ΔE to the lowest computed polymorph = 15.0 kJ per mole of atoms
E_form (uncorrected) = 0.368 eV/atom
Fermi-level density of states = 0.63 states/eV per atom

POSCAR file:
```
SiGeBr2
1.0
0.0000 3.4802 3.4802
3.4802 0.0000 3.4802
3.4802 3.4802 0.0000
Si Ge Br
1 1 2
Direct
0.0000 0.0000 0.0000
0.5000 0.5000 0.5000
0.2500 0.2500 0.2500
0.7500 0.7500 0.7500
```

3.
Crystalline V3ReH at its relaxed geometry. Source: the Alexandria database, functional PBEsol.

Results
Symmetry = Pm-3m, No. 221
Crystal system = cubic
Energy = -9.10 eV/atom
Fermi-level density of states = 1.39 states/eV per atom

POSCAR file:
```
V3ReH
1.0
3.8253 0.0000 0.0000
0.0000 3.8253 0.0000
0.0000 0.0000 3.8253
V Re H
3 1 1
Direct
0.0000 0.0000 0.5000
0.0000 0.5000 0.0000
0.5000 0.0000 0.0000
0.5000 0.5000 0.5000
0.0000 0.0000 0.0000
```

4.
Crystalline KTaTi2Cl at its relaxed geometry. Source: the Alexandria database, functional PBEsol.

Results
Symmetry = P4/mmm, No. 123
Crystal system = tetragonal
ΔE to the lowest computed polymorph = 155.2 kJ per mole of atoms
E_form (uncorrected) = 2.479 eV/atom
Fermi-level density of states = 1.46 states/eV per atom

POSCAR file:
```
KTaTi2Cl
1.0
4.4329 0.0000 0.0000
0.0000 4.4329 0.0000
0.0000 0.0000 4.9011
K Ta Ti Cl
1 1 2 1
Direct
0.0000 0.0000 0.0000
0.0000 0.0000 0.5000
0.0000 0.5000 0.0000
0.5000 0.0000 0.0000
0.5000 0.5000 0.5000
```

5.
Crystalline UFe2B6 at its relaxed geometry. Source: the Alexandria database, functional PBEsol.

Results
Symmetry = Immm, No. 71
Crystal system = orthorhombic
Formation enthalpy at 0 K = -581.2 meV per atom
Fermi-level density of states = 0.78 states/eV per atom

POSCAR file:
```
UFe2B6
1.0
-1.5443 3.0087 4.0816
1.5443 -3.0087 4.0816
1.5443 3.0087 -4.0816
U Fe B
1 2 6
Direct
0.0000 0.0000 0.0000
0.3485 0.8485 0.5000
0.6515 0.1515 0.5000
0.0642 0.3034 0.7608
0.3540 0.5000 0.8540
0.4573 0.6966 0.7608
0.5427 0.3034 0.2392
0.6460 0.5000 0.1460
0.9358 0.6966 0.2392
```

6.
Crystalline BaNaBi at its relaxed geometry. Source: the Alexandria database, functional PBEsol.

Results
Symmetry = P-62m, No. 189
Crystal system = hexagonal
Formation enthalpy at 0 K = -778.4 meV per atom

POSCAR file:
```
BaNaBi
1.0
8.5920 0.0000 0.0000
-4.2960 7.4409 0.0000
0.0000 0.0000 5.1005
Ba Na Bi
3 3 3
Direct
0.0000 0.4179 0.0000
0.4179 0.0000 0.0000
0.5821 0.5821 0.0000
0.0000 0.7593 0.5000
0.2407 0.2407 0.5000
0.7593 0.0000 0.5000
0.0000 0.0000 0.0000
0.3333 0.6667 0.5000
0.6667 0.3333 0.5000
```

7.
Crystalline Re5Ni2As12 at its relaxed geometry. Source: the Alexandria database, functional PBEsol.

Results
Symmetry = Pnnm, No. 58
Crystal system = orthorhombic
Formation enthalpy at 0 K = -168.9 meV per atom
Fermi-level density of states = 0.29 states/eV per atom

POSCAR file:
```
Re5Ni2As12
1.0
12.5088 0.0000 0.0000
0.0000 15.5618 0.0000
0.0000 0.0000 3.1981
Re Ni As
10 4 24
Direct
0.0000 0.0000 0.0000
0.0791 0.2622 0.5000
0.1836 0.3990 0.0000
0.3164 0.8990 0.5000
0.4209 0.7622 0.0000
0.5000 0.5000 0.5000
0.5791 0.2378 0.0000
0.6836 0.1010 0.5000
0.8164 0.6010 0.0000
0.9209 0.7378 0.5000
0.1283 0.6532 0.5000
0.3717 0.1532 0.0000
0.6283 0.8468 0.0000
0.8717 0.3468 0.5000
0.0334 0.4226 0.5000
0.0699 0.7625 0.0000
0.0932 0.0988 0.5000
0.1588 0.9091 0.0000
0.2069 0.5595 0.0000
0.2267 0.2434 0.0000
0.2733 0.7434 0.5000
0.2931 0.0595 0.5000
0.3412 0.4091 0.5000
0.4068 0.5988 0.0000
0.4301 0.2625 0.5000
0.4666 0.9226 0.0000
0.5334 0.0774 0.0000
0.5699 0.7375 0.5000
0.5932 0.4012 0.0000
0.6588 0.5909 0.5000
0.7069 0.9405 0.5000
0.7267 0.2566 0.5000
0.7733 0.7566 0.0000
0.7931 0.4405 0.0000
0.8412 0.0909 0.0000
0.9068 0.9012 0.5000
0.9301 0.2375 0.0000
0.9666 0.5774 0.5000
```

8.
Crystalline KRuAu2 at its relaxed geometry. Source: the Alexandria database, functional PBEsol.

Results
Symmetry = Immm, No. 71
Crystal system = orthorhombic
Formation enthalpy at 0 K = 677.1 meV per atom
ΔE to the lowest computed polymorph = 29.8 kJ per mole of atoms
Fermi-level density of states = 1.20 states/eV per atom

POSCAR file:
```
KRuAu2
1.0
-1.3469 2.6936 5.4790
1.3469 -2.6936 5.4790
1.3469 2.6936 -5.4790
K Ru Au
1 1 2
Direct
0.0000 0.0000 0.0000
0.5000 0.5000 0.0000
0.2889 0.7889 0.5000
0.7111 0.2111 0.5000
```

9.
Crystalline OsPbSe2Br at its relaxed geometry. Source: the Alexandria database, functional PBEsol.

Results
Symmetry = P4/mmm, No. 123
Crystal system = tetragonal
E_form (uncorrected) = 1.667 eV/atom
Fermi-level density of states = 1.14 states/eV per atom

POSCAR file:
```
OsPbSe2Br
1.0
5.3323 0.0000 0.0000
0.0000 5.3323 0.0000
0.0000 0.0000 5.4257
Os Pb Se Br
1 1 2 1
Direct
0.0000 0.0000 0.0000
0.5000 0.5000 0.5000
0.0000 0.5000 0.5000
0.5000 0.0000 0.5000
0.5000 0.5000 0.0000
```

10.
Crystalline Ag2WI at its relaxed geometry. Source: the Alexandria database, functional PBEsol.

Results
Symmetry = Fm-3m, No. 225
Crystal system = cubic
E_form (uncorrected) = 1.505 eV/atom
Fermi-level density of states = 0.80 states/eV per atom

POSCAR file:
```
Ag2WI
1.0
0.0000 3.4280 3.4280
3.4280 0.0000 3.4280
3.4280 3.4280 0.0000
Ag W I
2 1 1
Direct
0.2500 0.2500 0.2500
0.7500 0.7500 0.7500
0.0000 0.0000 0.0000
0.5000 0.5000 0.5000
```

11.
Crystalline TlCo2Re at its relaxed geometry. Source: the Alexandria database, functional PBEsol.

Results
Symmetry = Fm-3m, No. 225
Crystal system = cubic
Formation enthalpy at 0 K = 635.2 meV per atom
ΔE to the lowest computed polymorph = 1.9 kJ per mole of atoms
Fermi-level density of states = 0.64 states/eV per atom

POSCAR file:
```
TlCo2Re
1.0
0.0000 3.0312 3.0312
3.0312 0.0000 3.0312
3.0312 3.0312 0.0000
Tl Co Re
1 2 1
Direct
0.0000 0.0000 0.0000
0.2500 0.2500 0.2500
0.7500 0.7500 0.7500
0.5000 0.5000 0.5000
```

12.
Crystalline CuRe2Te at its relaxed geometry. Source: the Alexandria database, functional PBEsol.

Results
Symmetry = C2/m, No. 12
Crystal system = monoclinic
E_form (uncorrected) = 0.660 eV/atom
Fermi-level density of states = 0.86 states/eV per atom

POSCAR file:
```
CuRe2Te
1.0
4.2884 -1.5019 0.0000
4.2884 1.5019 0.0000
-0.9122 0.0000 4.8247
Cu Re Te
1 2 1
Direct
0.0000 0.0000 0.0000
0.2567 0.2567 0.7781
0.7433 0.7433 0.2219
0.5000 0.5000 0.5000
```

13.
Crystalline CdTcBr2 at its relaxed geometry. Source: the Alexandria database, functional PBEsol.

Results
Symmetry = Pmmm, No. 47
Crystal system = orthorhombic
ΔE to the lowest computed polymorph = 0.0 kJ per mole of atoms
E_form (uncorrected) = 0.619 eV/atom
Fermi-level density of states = 0.60 states/eV per atom

POSCAR file:
```
CdTcBr2
1.0
3.2879 0.0000 0.0000
0.0000 4.4395 0.0000
0.0000 0.0000 5.8214
Cd Tc Br
1 1 2
Direct
0.0000 0.0000 0.0000
0.5000 0.0000 0.5000
0.0000 0.5000 0.5000
0.5000 0.5000 0.0000
```

14.
Crystalline TaTePb2 at its relaxed geometry. Source: the Alexandria database, functional PBEsol.

Results
Symmetry = P4/mmm, No. 123
Crystal system = tetragonal
E_form (uncorrected) = 0.657 eV/atom
Fermi-level density of states = 1.01 states/eV per atom

POSCAR file:
```
TaTePb2
1.0
4.2161 0.0000 0.0000
0.0000 4.2161 0.0000
0.0000 0.0000 5.6219
Ta Te Pb
1 1 2
Direct
0.0000 0.0000 0.0000
0.5000 0.5000 0.0000
0.0000 0.5000 0.5000
0.5000 0.0000 0.5000
```

15.
Crystalline Li2LaCo at its relaxed geometry. Source: the Alexandria database, functional PBEsol.

Results
Symmetry = Fm-3m, No. 225
Crystal system = cubic
Formation enthalpy at 0 K = 384.4 meV per atom
ΔE to the lowest computed polymorph = 20.4 kJ per mole of atoms
Fermi-level density of states = 0.62 states/eV per atom

POSCAR file:
```
Li2LaCo
1.0
0.0000 3.2205 3.2205
3.2205 0.0000 3.2205
3.2205 3.2205 0.0000
Li La Co
2 1 1
Direct
0.2500 0.2500 0.2500
0.7500 0.7500 0.7500
0.0000 0.0000 0.0000
0.5000 0.5000 0.5000
```

16.
Crystalline KRbCd2H at its relaxed geometry. Source: the Alexandria database, functional PBEsol.

Results
Symmetry = P4/mmm, No. 123
Crystal system = tetragonal
Energy = -1.36 eV/atom
Fermi-level density of states = 0.32 states/eV per atom

POSCAR file:
```
KRbCd2H
1.0
5.5296 0.0000 0.0000
0.0000 5.5296 0.0000
0.0000 0.0000 4.9777
K Rb Cd H
1 1 2 1
Direct
0.0000 0.0000 0.0000
0.5000 0.5000 0.0000
0.0000 0.5000 0.5000
0.5000 0.0000 0.5000
0.0000 0.0000 0.5000
```

17.
Crystalline BeInCo2 at its relaxed geometry. Source: the Alexandria database, functional PBEsol.

Results
Symmetry = Pm, No. 6
Crystal system = monoclinic
Formation enthalpy at 0 K = 201.7 meV per atom
Fermi-level density of states = 0.95 states/eV per atom

POSCAR file:
```
BeInCo2
1.0
2.6980 0.0000 0.0000
0.0000 3.8292 0.0000
-1.3444 0.0000 4.7718
Be In Co
1 1 2
Direct
0.0000 0.0000 0.0000
0.3623 0.5000 0.7174
0.1017 0.5000 0.1930
0.6969 0.0000 0.3886
```

18.
Crystalline NiAg2Pt at its relaxed geometry. Source: the Alexandria database, functional PBEsol.

Results
Symmetry = R3m, No. 160
Crystal system = trigonal
Formation enthalpy at 0 K = 71.5 meV per atom
Fermi-level density of states = 1.13 states/eV per atom

POSCAR file:
```
NiAg2Pt
1.0
1.3739 0.7932 8.9595
-1.3739 0.7932 8.9595
0.0000 -1.5864 8.9595
Ni Ag Pt
1 2 1
Direct
0.0000 0.0000 0.0000
0.5025 0.5025 0.5025
0.7461 0.7461 0.7461
0.2579 0.2579 0.2579
```

19.
Crystalline Sb2AuSe at its relaxed geometry. Source: the Alexandria database, functional PBEsol.

Results
Symmetry = P4/mmm, No. 123
Crystal system = tetragonal
E_form (uncorrected) = -0.093 eV/atom
Fermi-level density of states = 0.58 states/eV per atom

POSCAR file:
```
Sb2AuSe
1.0
4.0674 0.0000 0.0000
0.0000 4.0674 0.0000
0.0000 0.0000 5.6868
Sb Au Se
2 1 1
Direct
0.0000 0.0000 0.0000
0.5000 0.5000 0.5000
0.0000 0.0000 0.5000
0.5000 0.5000 0.0000
```

20.
Crystalline RuSI2 at its relaxed geometry. Source: the Alexandria database, functional PBEsol.

Results
Symmetry = I-42d, No. 122
Crystal system = tetragonal
E_form (uncorrected) = 0.690 eV/atom
Fermi-level density of states = 0.42 states/eV per atom

POSCAR file:
```
RuSI2
1.0
-3.5335 3.5335 4.1303
3.5335 -3.5335 4.1303
3.5335 3.5335 -4.1303
Ru S I
2 2 4
Direct
0.0000 0.0000 0.0000
0.7500 0.2500 0.5000
0.2500 0.7500 0.5000
0.5000 0.5000 0.0000
0.0831 0.6250 0.9581
0.3750 0.3331 0.4581
0.6669 0.1250 0.0419
0.8750 0.9169 0.5419
```

| no. | M_tot (μB per atom) |
| --- | --- |
| 1 | 0.89 |
| 2 | 0.00 |
| 3 | 0.00 |
| 4 | 0.00 |
| 5 | 0.10 |
| 6 | 0.00 |
| 7 | 0.00 |
| 8 | 0.07 |
| 9 | 0.97 |
| 10 | 0.79 |
| 11 | 0.98 |
| 12 | 0.00 |
| 13 | 0.68 |
| 14 | 0.01 |
| 15 | 0.00 |
| 16 | 0.00 |
| 17 | 0.51 |
| 18 | 0.16 |
| 19 | 0.00 |
| 20 | 0.00 |